[1]
The following is a GGA-PBE calculation of an optimized crystal structure of PaHg2Br4, from Alexandria.

a = 21.1066 Å, b = 4.2372 Å, c = 6.6010 Å
α = 90.00°, β = 91.07°, γ = 90.00°
With the nearest neighbours (Å) after each atom.
Space group C2/m (No. 12)
Symmetry-distinct sites (fractional):
Pa 0.0000 0.0000 0.0000 x2  6 Br 2.70-2.89
Hg 0.2387 0.0000 0.2713 x4  2 Hg 3.71, 2 Br 4.02
Br 0.0587 0.5000 0.2337 x4  2 Pa 2.89
Br 0.0998 0.0000 0.7503 x4  1 Pa 2.70

Spin magnetization = 2.00 μB per cell
Final energy = -3.38 eV per atom



[2]
The following is a GGA-PBE calculation of an optimized crystal structure of PaHg2Br4, from Alexandria.

a = 5.7491 Å, b = 5.7491 Å, c = 20.7378 Å
α = 90.00°, β = 90.00°, γ = 90.00°
With the nearest neighbours (Å) after each atom.
Space group I4/mmm (No. 139)
Symmetry-distinct sites (fractional):
Pa 0.0000 0.0000 0.0000 x2  6 Br 2.69-2.87
Hg 0.0000 0.0000 0.3207 x4  5 Br 3.96-4.19
Br 0.0000 0.0000 0.1297 x4  1 Pa 2.69
Br 0.0000 0.5000 0.0000 x4  2 Pa 2.87

Spin magnetization = 2.00 μB per cell
Final energy = -3.32 eV per atom



[3]
The following is a GGA-PBE calculation of an optimized crystal structure of PaHg2Br8, from Alexandria.

a = 13.8798 Å, b = 9.7864 Å, c = 6.9699 Å
α = 90.00°, β = 91.23°, γ = 90.00°
With the nearest neighbours (Å) after each atom.
Space group C2/m (No. 12)
Symmetry-distinct sites (fractional):
Pa 0.0000 0.0000 0.0000 x2  6 Br 2.79-2.82
Hg 0.2271 0.0000 0.2078 x4  1 Br 2.47
Br 0.0834 0.2007 0.2405 x8  1 Hg 2.81, 1 Pa 2.82
Br 0.1014 0.5000 0.6899 x4  1 Hg 2.47
Br 0.1690 0.0000 0.7907 x4  1 Pa 2.79, 1 Hg 3.00

Spin magnetization = 2.02 μB per cell
Final energy = -3.00 eV per atom



[4]
The following is a GGA-PBE calculation of an optimized crystal structure of Pa2Hg3Br8, from Alexandria.

a = 22.1085 Å, b = 8.6891 Å, c = 5.6066 Å
α = 90.00°, β = 100.08°, γ = 90.00°
With the nearest neighbours (Å) after each atom.
Space group C2/m (No. 12)
Symmetry-distinct sites (fractional):
Pa 0.2284 0.0000 0.3906 x4  7 Br 2.71-3.02
Hg 0.0000 0.3028 0.0000 x4  3 Hg 3.29-3.43
Hg 0.0000 0.5000 0.5000 x2  4 Hg 3.29
Br 0.1194 0.0000 0.0805 x4  1 Pa 2.71
Br 0.1705 0.2764 0.5419 x8  2 Pa 2.92-2.94
Br 0.2277 0.5000 0.0691 x4  2 Pa 2.91-3.02

Spin magnetization = 4.26 μB per cell
Final energy = -3.59 eV per atom



[5]
The following is a GGA-PBE calculation of an optimized crystal structure of PaHgBr5, from Alexandria.

a = 13.6607 Å, b = 10.8039 Å, c = 10.4599 Å
α = 90.00°, β = 114.98°, γ = 90.00°
With the nearest neighbours (Å) after each atom.
Space group C2/c (No. 15)
Symmetry-distinct sites (fractional):
Pa 0.0000 0.0000 0.0000 x4  6 Br 2.66-2.89
Hg 0.0000 0.4876 0.2500 x4  5 Br 3.96-4.04
Br 0.0000 0.1134 0.2500 x4  2 Pa 2.89
Br 0.0989 0.2032 0.9704 x8  1 Pa 2.66
Br 0.1914 0.1048 0.6498 x8  1 Pa 2.67

Spin magnetization = 0.00 μB per cell
Final energy = -3.77 eV per atom



[6]
The following is a GGA-PBE calculation of an optimized crystal structure of Pa2HgBr9, from Alexandria.

a = 10.5745 Å, b = 10.5745 Å, c = 4.2564 Å
α = 90.00°, β = 90.00°, γ = 120.00°
With the nearest neighbours (Å) after each atom.
Space group P6/mmm (No. 191)
Symmetry-distinct sites (fractional):
Pa 0.3333 0.6667 0.0000 x2  9 Br 2.94-3.05
Hg 0.0000 0.0000 0.0000 x1  2 Hg 4.26, 12 Br 4.60
Br 0.0000 0.5000 0.0000 x3  2 Pa 3.05
Br 0.2226 0.4452 0.5000 x6  2 Pa 2.94

Spin magnetization = 1.03 μB per cell
Final energy = -4.00 eV per atom



| no. | E_form (uncorrected) (eV per formula unit) |
| --- | --- |
| 1 | -6.85 |
| 2 | -6.48 |
| 3 | -9.52 |
| 4 | -13.44 |
| 5 | -8.26 |
| 6 | -13.63 |